No. 1
# GaB2Pd (PBE, relaxed)
# Formation enthalpy at 0 K in eV per atom: 0.71
# Calculated total energy in eV/atom: -4.680
data_GaB2Pd
_space_group_name_H-M_alt 'P 1'
_space_group_IT_number 1
_space_group_name_Hall 'P 1'
_cell_length_a 5.170
_cell_length_b 5.170
_cell_length_c 5.646
_cell_angle_alpha 62.75
_cell_angle_beta 62.75
_cell_angle_gamma 90.00
loop_
_atom_site_label
_atom_site_fract_x
_atom_site_fract_y
_atom_site_fract_z
B1 0.875 0.894 0.750
Ga1 0.500 0.500 0.000
B2 0.375 0.356 0.750
B3 0.106 0.625 0.250
B4 0.644 0.125 0.250
Pd1 0.000 0.000 0.000
Ga2 0.250 0.750 0.500
Pd2 0.750 0.250 0.500

No. 2
# Ga2BPd (PBE, relaxed)
# Formation enthalpy at 0 K in eV per atom: 0.16
# Calculated total energy in eV/atom: -4.323
data_Ga2BPd
_space_group_name_H-M_alt 'P 1'
_space_group_IT_number 1
_space_group_name_Hall 'P 1'
_cell_length_a 7.577
_cell_length_b 7.577
_cell_length_c 5.785
_cell_angle_alpha 49.08
_cell_angle_beta 49.08
_cell_angle_gamma 90.00
loop_
_atom_site_label
_atom_site_fract_x
_atom_site_fract_y
_atom_site_fract_z
Ga1 0.498 0.125 0.250
B1 0.250 0.750 0.500
Pd1 0.750 0.250 0.500
Ga2 0.252 0.625 0.250
Ga3 0.375 0.502 0.750
Pd2 0.000 0.000 0.000
B2 0.500 0.500 0.000
Ga4 0.875 0.748 0.750

No. 3
# Ga5B2Pd12 (PBE, relaxed)
# Formation enthalpy at 0 K in eV per atom: -0.40
# Calculated total energy in eV/atom: -5.181
data_Ga5B2Pd12
_space_group_name_H-M_alt 'P 1'
_space_group_IT_number 1
_space_group_name_Hall 'P 1'
_cell_length_a 5.577
_cell_length_b 8.738
_cell_length_c 7.098
_cell_angle_alpha 119.60
_cell_angle_beta 90.00
_cell_angle_gamma 108.61
loop_
_atom_site_label
_atom_site_fract_x
_atom_site_fract_y
_atom_site_fract_z
Pd1 0.031 0.062 0.212
Pd2 0.595 0.701 0.367
Pd3 0.405 0.299 0.633
Pd4 0.405 0.301 0.123
Pd5 0.969 0.938 0.788
Ga1 0.750 0.501 0.003
Pd6 0.595 0.699 0.877
Pd7 0.894 0.299 0.633
B1 0.331 0.000 0.000
Ga2 0.242 0.484 0.491
Ga3 0.000 0.000 0.500
Ga4 0.758 0.516 0.509
Pd8 0.510 0.019 0.729
Ga5 0.250 0.499 0.997
Pd9 0.490 0.981 0.271
B2 0.669 0.000 0.000
Pd10 0.106 0.701 0.367
Pd11 0.104 0.699 0.877
Pd12 0.896 0.301 0.123

No. 4
# Ga2BPd8 (PBE, relaxed)
# Formation enthalpy at 0 K in eV per atom: -0.36
# Calculated total energy in eV/atom: -5.295
data_Ga2BPd8
_space_group_name_H-M_alt 'P 1'
_space_group_IT_number 1
_space_group_name_Hall 'P 1'
_cell_length_a 4.409
_cell_length_b 5.521
_cell_length_c 7.436
_cell_angle_alpha 110.68
_cell_angle_beta 107.25
_cell_angle_gamma 90.00
loop_
_atom_site_label
_atom_site_fract_x
_atom_site_fract_y
_atom_site_fract_z
Pd1 0.985 0.229 0.969
Pd2 0.202 0.271 0.404
Pd3 0.798 0.729 0.596
Ga1 0.821 0.299 0.642
Pd4 0.403 0.603 0.806
Pd5 0.359 0.063 0.718
Pd6 0.015 0.771 0.031
Ga2 0.179 0.701 0.358
B1 0.500 0.000 0.000
Pd7 0.597 0.397 0.194
Pd8 0.641 0.937 0.282

No. 5
# GaBPd (PBE, relaxed)
# Formation enthalpy at 0 K in eV per atom: 0.10
# Calculated total energy in eV/atom: -4.862
data_GaBPd
_space_group_name_H-M_alt 'P 1'
_space_group_IT_number 1
_space_group_name_Hall 'P 1'
_cell_length_a 4.231
_cell_length_b 4.231
_cell_length_c 7.252
_cell_angle_alpha 78.01
_cell_angle_beta 78.01
_cell_angle_gamma 42.32
loop_
_atom_site_label
_atom_site_fract_x
_atom_site_fract_y
_atom_site_fract_z
Pd1 0.495 0.495 0.791
Ga1 0.578 0.578 0.311
B1 0.959 0.959 0.551
B2 0.794 0.794 0.756
Ga2 0.175 0.175 0.997
Pd2 0.258 0.258 0.516

No. 6
# Ga2B2Pd (PBE, relaxed)
# Formation enthalpy at 0 K in eV per atom: 0.44
# Polymorph energy (0 for the lowest one) in meV/atom: 165
# Calculated total energy in eV/atom: -4.477
data_Ga2B2Pd
_space_group_name_H-M_alt 'P 1'
_space_group_IT_number 1
_space_group_name_Hall 'P 1'
_cell_length_a 3.728
_cell_length_b 3.728
_cell_length_c 5.182
_cell_angle_alpha 68.92
_cell_angle_beta 68.92
_cell_angle_gamma 90.00
loop_
_atom_site_label
_atom_site_fract_x
_atom_site_fract_y
_atom_site_fract_z
Ga1 0.750 0.250 0.500
B1 0.592 0.592 0.816
Pd1 0.000 0.000 0.000
B2 0.408 0.408 0.184
Ga2 0.250 0.750 0.500

No. 7
# GaBPd4 (PBE, relaxed)
# Formation enthalpy at 0 K in eV per atom: -0.25
# Calculated total energy in eV/atom: -5.330
data_GaBPd4
_space_group_name_H-M_alt 'P 1'
_space_group_IT_number 1
_space_group_name_Hall 'P 1'
_cell_length_a 4.213
_cell_length_b 6.490
_cell_length_c 7.105
_cell_angle_alpha 83.99
_cell_angle_beta 90.00
_cell_angle_gamma 108.94
loop_
_atom_site_label
_atom_site_fract_x
_atom_site_fract_y
_atom_site_fract_z
B1 0.901 0.802 0.364
Pd1 0.269 0.538 0.629
Pd2 0.921 0.841 0.654
Pd3 0.079 0.159 0.346
B2 0.099 0.198 0.636
Ga1 0.733 0.467 0.860
Pd4 0.108 0.216 0.937
Pd5 0.436 0.872 0.320
Pd6 0.731 0.462 0.371
Pd7 0.892 0.784 0.063
Pd8 0.564 0.128 0.680
Ga2 0.267 0.533 0.140

No. 8
# Pr2GaBPd6 (PBE, relaxed)
# Formation enthalpy at 0 K in eV per atom: -0.69
# Calculated total energy in eV/atom: -5.736
data_Pr2GaBPd6
_space_group_name_H-M_alt 'P 1'
_space_group_IT_number 1
_space_group_name_Hall 'P 1'
_cell_length_a 5.783
_cell_length_b 7.310
_cell_length_c 8.793
_cell_angle_alpha 90.00
_cell_angle_beta 90.00
_cell_angle_gamma 90.00
loop_
_atom_site_label
_atom_site_fract_x
_atom_site_fract_y
_atom_site_fract_z
Pd1 0.256 0.398 0.500
Pd2 0.763 0.987 0.500
Pd3 0.500 0.152 0.741
B1 0.000 0.815 0.000
Pd4 0.000 0.848 0.241
Pd5 0.737 0.013 0.000
Pr1 0.500 0.714 0.717
Pr2 0.000 0.286 0.783
Pd6 0.756 0.602 0.000
Pd7 0.000 0.848 0.759
Ga1 0.000 0.678 0.500
Ga2 0.500 0.322 0.000
Pd8 0.244 0.602 0.000
Pr3 0.000 0.286 0.217
Pd9 0.263 0.013 0.000
B2 0.500 0.185 0.500
Pr4 0.500 0.714 0.283
Pd10 0.237 0.987 0.500
Pd11 0.500 0.152 0.259
Pd12 0.744 0.398 0.500